Here is a relaxed structure of TbPu2Tc9 from Alexandria via LeMat-Bulk. Energies are from GGA-PBE.

**E**: -10.48 eV/atom

Unit cell a=5.225 b=5.225 c=9.561 alpha=105.99 beta=105.99 gamma=59.98
Element x y z (fractional)
Tb1 0.000 0.000 0.000
Pu1 0.146 0.146 0.437
Pu2 0.854 0.854 0.563
Tc1 0.078 0.585 0.247
Tc2 0.335 0.335 0.006
Tc3 0.415 0.415 0.754
Tc4 0.415 0.922 0.753
Tc5 0.500 0.500 0.500
Tc6 0.585 0.078 0.247
Tc7 0.585 0.585 0.246
Tc8 0.665 0.665 0.994
Tc9 0.922 0.415 0.753